Entry 1:
Ba2SiAg4 | PBE-GGA | relaxed

The value obtained for the uncorrected energy is -3.046 eV per atom.

a = 4.9058 Å, b = 4.9058 Å, c = 9.5516 Å
α = 75.12°, β = 75.12°, γ = 90.00°
Last column: nearest neighbours and their distance in Å.
Fractional coordinates of all 7 atoms:
Si 0.0000 0.0000 0.0000  6 Ag 2.45-2.56
Ba 0.6555 0.6555 0.6890  9 Ag 3.47-3.70
Ba 0.3445 0.3445 0.3110  9 Ag 3.47-3.70
Ag 0.8559 0.8559 0.2882  1 Si 2.56
Ag 0.1441 0.1441 0.7118  1 Si 2.56
Ag 0.0000 0.5000 0.0000  2 Si 2.45
Ag 0.5000 0.0000 0.0000  2 Si 2.45


Entry 2:
Ba2Si2Ag | PBE-GGA | relaxed

The calculation puts the relative energy among the computed polymorphs at 0.039 eV/atom.

a = 8.3159 Å, b = 8.3159 Å, c = 4.5916 Å
α = 90.00°, β = 90.00°, γ = 90.00°
Last column: nearest neighbours and their distance in Å.
Fractional coordinates of all 10 atoms:
Si 0.4032 0.9032 0.0000  1 Si 2.28
Si 0.9032 0.5968 0.0000  1 Si 2.28
Si 0.5968 0.0968 0.0000  1 Si 2.28
Si 0.0968 0.4032 0.0000  1 Si 2.28
Ba 0.1906 0.6906 0.5000  6 Si 3.39-3.40, 4 Ag 3.80
Ba 0.6906 0.8094 0.5000  6 Si 3.39-3.40, 4 Ag 3.80
Ba 0.8094 0.3094 0.5000  6 Si 3.39-3.40, 4 Ag 3.80
Ba 0.3094 0.1906 0.5000  6 Si 3.39-3.40, 4 Ag 3.80
Ag 0.0000 0.0000 0.0000  4 Si 3.45, 8 Ba 3.80
Ag 0.5000 0.5000 0.0000  4 Si 3.45, 8 Ba 3.80


Entry 3:
BaSiAg2 | PBE-GGA | relaxed

The value obtained for the uncorrected energy is -3.210 eV per atom.

a = 5.4646 Å, b = 5.4646 Å, c = 5.4646 Å
α = 132.40°, β = 113.93°, γ = 85.42°
Last column: nearest neighbours and their distance in Å.
Fractional coordinates of all 4 atoms:
Ag 0.0670 0.0670 0.0000  2 Si 2.65, 1 Ag 2.94
Ag 0.4330 0.4330 0.0000  2 Si 2.65, 1 Ag 2.94
Ba 0.7500 0.2500 0.5000  8 Ag 3.32-3.37, 4 Si 3.71
Si 0.2500 0.7500 0.5000  4 Ag 2.65


Entry 4:
Ba2SiAg | PBE-GGA | relaxed

The value obtained for the uncorrected energy is -2.773 eV per atom.

a = 6.8428 Å, b = 6.8428 Å, c = 10.0322 Å
α = 70.06°, β = 70.06°, γ = 90.00°
Last column: nearest neighbours and their distance in Å.
Fractional coordinates of all 8 atoms:
Si 0.5000 0.5000 0.0000  4 Ba 3.19
Si 0.2500 0.7500 0.5000  4 Ba 3.19
Ba 0.6029 0.1250 0.2500  2 Si 3.19, 2 Ag 3.35
Ba 0.1471 0.6250 0.2500  2 Si 3.19, 2 Ag 3.35
Ba 0.3750 0.3971 0.7500  2 Si 3.19, 2 Ag 3.35
Ba 0.8750 0.8529 0.7500  2 Si 3.19, 2 Ag 3.35
Ag 0.0000 0.0000 0.0000  4 Ba 3.35
Ag 0.7500 0.2500 0.5000  4 Ba 3.35


Result set for mass density: 5692; 4588; 5998; 3314 kg/m³, one per record in the order listed.
Result set for total magnetic moment: 0.00; 0.00; 0.00; 0.25 μB per atom, one per record in the order listed.
Result set for volume: 30.6; 31.8; 26.4; 51.4 Å³/atom, one per record in the order listed.